Entry 1:
Density functional theory data (PBE-GGA) for crystalline BaBeCo4 at its relaxed geometry.

Cell and atoms, written as POSCAR:
```
BaBeCo4
1.0
0.000 3.585 3.585
3.585 0.000 3.585
3.585 3.585 0.000
Co Be Ba
4 1 1
Direct
0.882 0.373 0.373 Co
0.373 0.373 0.882 Co
0.373 0.882 0.373 Co
0.373 0.373 0.373 Co
0.000 0.000 0.000 Be
0.750 0.750 0.750 Ba
```

Calculated values
SG = No. 216
Formation energy from the elements = 3.80 eV per formula unit

---

Entry 2:
Density functional theory data (PBE-GGA) for crystalline CaCdCl2 at its relaxed geometry.

Cell and atoms, written as POSCAR:
```
CaCdCl2
1.0
3.810 0.000 0.000
0.000 4.250 0.001
0.000 2.020 7.051
Cl Ca Cd
2 1 1
Direct
0.500 0.262 0.341 Cl
0.000 0.925 0.005 Cl
0.000 0.743 0.375 Ca
0.500 0.570 0.780 Cd
```

Calculated values
SG = No. 6
Formation energy (no corrections) = -1.42 eV per atom
E above lowest polymorph = 221 meV per atom

---

Entry 3:
Density functional theory data (PBE-GGA) for crystalline K2Zr2ScTe6 at its relaxed geometry.

Cell and atoms, written as POSCAR:
```
K2Zr2ScTe6
1.0
7.153 -0.027 0.057
-3.559 6.205 0.057
-1.281 -2.201 8.539
Te Zr K Sc
6 2 2 1
Direct
0.599 0.929 0.298 Te
0.401 0.071 0.702 Te
0.929 0.599 0.298 Te
0.071 0.401 0.702 Te
0.269 0.269 0.300 Te
0.731 0.731 0.700 Te
0.668 0.332 0.500 Zr
0.332 0.668 0.500 Zr
0.834 0.166 0.000 K
0.166 0.834 0.000 K
0.000 0.000 0.500 Sc
```

Calculated values
SG = No. 12
Formation energy (no corrections) = -1.06 eV per atom

---

Entry 4:
Density functional theory data (PBE-GGA) for crystalline Th2Si5Pt3 at its relaxed geometry.

Cell and atoms, written as POSCAR:
```
Th2Si5Pt3
1.0
-1.535 5.995 -0.488
-3.599 2.847 6.881
6.471 4.975 1.337
Si Th Pt
10 4 6
Direct
0.146 0.739 0.971 Si
0.750 0.229 0.771 Si
0.250 0.229 0.771 Si
0.250 0.500 0.500 Si
0.250 0.771 0.229 Si
0.854 0.261 0.029 Si
0.354 0.029 0.261 Si
0.646 0.971 0.739 Si
0.750 0.771 0.229 Si
0.750 0.500 0.500 Si
0.232 0.396 0.140 Th
0.268 0.860 0.604 Th
0.732 0.140 0.396 Th
0.768 0.604 0.860 Th
0.250 0.000 0.000 Pt
0.750 0.000 0.000 Pt
0.390 0.475 0.746 Pt
0.890 0.746 0.475 Pt
0.610 0.525 0.254 Pt
0.110 0.254 0.525 Pt
```

Calculated values
SG = No. 72
Formation energy (no corrections) = -0.95 eV per atom

---

Entry 5:
Density functional theory data (PBE-GGA) for crystalline KTaCd2 at its relaxed geometry.

Cell and atoms, written as POSCAR:
```
KTaCd2
1.0
-0.181 2.382 -6.563
-4.276 -2.931 -4.681
1.687 3.716 5.669
Ta Cd K
1 2 1
Direct
0.750 0.250 0.500 Ta
0.537 0.537 0.000 Cd
0.963 0.963 0.000 Cd
0.250 0.750 0.500 K
```

Calculated values
SG = No. 71
Formation energy from the elements = 3.36 eV per formula unit
E above lowest polymorph = 445 meV per atom

---

Entry 6:
Density functional theory data (PBE-GGA) for crystalline CeSm3Ru3 at its relaxed geometry.

Cell and atoms, written as POSCAR:
```
CeSm3Ru3
1.0
-2.281 2.682 -4.733
-3.655 -4.522 1.812
0.616 3.968 4.321
Ru Sm Ce
3 3 1
Direct
0.532 0.032 0.532 Ru
0.468 0.500 0.000 Ru
0.000 0.500 0.468 Ru
0.593 0.592 0.593 Sm
0.000 0.000 0.407 Sm
0.407 0.000 0.000 Sm
0.000 0.401 0.000 Ce
```

Calculated values
SG = No. 160
Formation energy from the elements = -1.98 eV per formula unit
E above lowest polymorph = 0 meV per atom

---

Entry 7:
Density functional theory data (PBE-GGA) for crystalline KNiW at its relaxed geometry.

Cell and atoms, written as POSCAR:
```
KNiW
1.0
4.972 0.000 0.000
-2.486 4.306 0.000
0.000 0.000 2.618
Ni W K
1 1 1
Direct
0.667 0.333 0.415 Ni
0.333 0.667 0.593 W
0.000 0.000 0.992 K
```

Calculated values
SG = No. 156
Formation energy from the elements = 5.03 eV per formula unit
E above lowest polymorph = 810 meV per atom

---

Entry 8:
Density functional theory data (PBE-GGA) for crystalline Ce2ErZn at its relaxed geometry.

Cell and atoms, written as POSCAR:
```
Ce2ErZn
1.0
3.723 0.000 0.000
0.000 3.723 0.000
0.000 0.000 7.862
Zn Ce Er
1 2 1
Direct
0.500 0.500 0.000 Zn
0.000 0.000 0.799 Ce
0.000 0.000 0.201 Ce
0.500 0.500 0.500 Er
```

Calculated values
SG = No. 123
Formation energy from the elements = -0.02 eV per formula unit
E above lowest polymorph = 11 meV per atom

---

Entry 9:
Density functional theory data (PBE-GGA) for crystalline Cd2TePb at its relaxed geometry.

Cell and atoms, written as POSCAR:
```
Cd2TePb
1.0
-3.223 6.011 2.262
-6.756 1.114 2.181
5.754 -4.260 0.615
Cd Pb Te
2 1 1
Direct
0.952 0.952 0.000 Cd
0.792 0.292 0.500 Cd
0.535 0.535 0.000 Pb
0.221 0.721 0.500 Te
```

Calculated values
SG = No. 44
Formation energy (no corrections) = -0.02 eV per atom
E above lowest polymorph = 50 meV per atom

---

Entry 10:
Density functional theory data (PBE-GGA) for crystalline LaPm3Os at its relaxed geometry.

Cell and atoms, written as POSCAR:
```
LaPm3Os
1.0
5.601 0.000 0.000
0.000 5.601 0.000
0.000 0.000 5.601
Pm Os La
3 1 1
Direct
0.000 0.000 0.500 Pm
0.500 0.000 0.000 Pm
0.000 0.500 0.000 Pm
0.000 0.000 0.000 Os
0.500 0.500 0.500 La
```

Calculated values
SG = No. 221
Formation energy from the elements = 0.42 eV per formula unit
E above lowest polymorph = 191 meV per atom

---

Entry 11:
Density functional theory data (PBE-GGA) for crystalline V2AsRhSe at its relaxed geometry.

Cell and atoms, written as POSCAR:
```
V2AsRhSe
1.0
-1.117 3.786 -2.400
-4.425 -0.752 0.873
0.328 2.536 3.848
As Se V Rh
1 1 2 1
Direct
0.500 0.500 0.500 As
0.000 0.000 0.000 Se
0.500 0.000 0.000 V
0.000 0.000 0.500 V
0.000 0.500 0.000 Rh
```

Calculated values
SG = No. 123
Formation energy (no corrections) = 0.54 eV per atom

---

Entry 12:
Density functional theory data (PBE-GGA) for crystalline Cr2FeRe at its relaxed geometry.

Cell and atoms, written as POSCAR:
```
Cr2FeRe
1.0
-1.581 1.116 -2.197
-1.843 -2.269 0.173
-3.235 2.917 3.809
Re Fe Cr
1 1 2
Direct
0.500 0.500 0.753 Re
0.000 0.000 0.484 Fe
0.000 0.000 0.016 Cr
0.500 0.500 0.248 Cr
```

Calculated values
SG = No. 99
Formation energy from the elements = 0.39 eV per formula unit
E above lowest polymorph = 20 meV per atom

---

Entry 13:
Density functional theory data (PBE-GGA) for crystalline MgBr at its relaxed geometry.

Cell and atoms, written as POSCAR:
```
MgBr
1.0
-2.752 -2.791 0.878
-1.446 -5.993 -23.582
9.000 -8.377 1.577
Mg Br
16 16
Direct
0.750 0.750 0.636 Mg
0.250 0.250 0.864 Mg
0.500 0.500 0.114 Mg
0.000 0.000 0.114 Mg
0.500 0.500 0.886 Mg
0.250 0.750 0.136 Mg
0.000 0.000 0.886 Mg
0.500 0.000 0.386 Mg
0.500 0.000 0.614 Mg
0.750 0.250 0.364 Mg
0.250 0.750 0.364 Mg
0.000 0.500 0.386 Mg
0.750 0.250 0.136 Mg
0.750 0.750 0.864 Mg
0.000 0.500 0.614 Mg
0.250 0.250 0.636 Mg
0.000 0.320 0.000 Br
0.250 0.570 0.750 Br
0.750 0.430 0.750 Br
0.500 0.320 0.500 Br
0.000 0.180 0.500 Br
0.000 0.680 0.000 Br
0.500 0.180 0.000 Br
0.500 0.680 0.500 Br
0.250 0.070 0.250 Br
0.250 0.430 0.250 Br
0.750 0.570 0.250 Br
0.250 0.930 0.750 Br
0.750 0.930 0.250 Br
0.500 0.820 0.000 Br
0.750 0.070 0.750 Br
0.000 0.820 0.500 Br
```

Calculated values
SG = No. 70
Formation energy (no corrections) = -0.81 eV per atom

---

Entry 14:
Density functional theory data (PBE-GGA) for crystalline Ni2OsBr at its relaxed geometry.

Cell and atoms, written as POSCAR:
```
Ni2OsBr
1.0
-1.421 -0.602 2.428
-3.386 -1.757 -2.418
1.914 -3.901 0.154
Ni Os Br
2 1 1
Direct
0.000 0.000 0.000 Ni
0.500 0.500 0.000 Ni
0.500 0.000 0.500 Os
0.000 0.500 0.500 Br
```

Calculated values
SG = No. 47
Formation energy (no corrections) = 1.00 eV per atom
E above lowest polymorph = 518 meV per atom

---

Entry 15:
Density functional theory data (PBE-GGA) for crystalline Li4LuZn at its relaxed geometry.

Cell and atoms, written as POSCAR:
```
Li4LuZn
1.0
-0.376 -5.243 -1.005
4.296 -3.144 0.547
0.244 -3.520 4.023
Li Lu Zn
4 1 1
Direct
0.627 0.119 0.627 Li
0.627 0.627 0.627 Li
0.119 0.627 0.627 Li
0.627 0.627 0.119 Li
0.250 0.250 0.250 Lu
0.000 0.000 0.000 Zn
```

Calculated values
SG = No. 216
Formation energy from the elements = 0.22 eV per formula unit

---

Entry 16:
Density functional theory data (PBE-GGA) for crystalline Te3Br at its relaxed geometry.

Cell and atoms, written as POSCAR:
```
Te3Br
1.0
7.215 -0.127 0.072
0.701 7.182 -0.072
-1.434 -6.360 3.095
Te Br
3 1
Direct
0.525 0.747 0.777 Te
0.418 0.500 0.918 Te
0.030 0.253 0.777 Te
0.860 0.000 0.860 Br
```

Calculated values
SG = No. 44
Formation energy (no corrections) = 0.08 eV per atom
E above lowest polymorph = 185 meV per atom

---

Entry 17:
Density functional theory data (PBE-GGA) for crystalline Cs2SnTeF6 at its relaxed geometry.

Cell and atoms, written as POSCAR:
```
Cs2SnTeF6
1.0
-5.473 -5.312 0.061
5.312 -5.470 0.207
-0.138 -5.282 4.496
F Cs Sn Te
6 2 1 1
Direct
0.685 0.685 0.000 F
0.263 0.263 0.473 F
0.737 0.737 0.527 F
0.315 0.315 0.000 F
0.315 0.685 0.000 F
0.685 0.315 0.000 F
0.750 0.250 0.500 Cs
0.250 0.750 0.500 Cs
0.500 0.500 0.000 Sn
0.000 0.000 0.000 Te
```

Calculated values
SG = No. 139
Formation energy (no corrections) = -2.23 eV per atom

---

Entry 18:
Density functional theory data (PBE-GGA) for crystalline Fe3CuH3 at its relaxed geometry.

Cell and atoms, written as POSCAR:
```
Fe3CuH3
1.0
4.848 0.000 0.000
0.000 4.848 0.000
0.000 0.000 4.848
H Fe Cu
6 6 2
Direct
0.750 0.000 0.500 H
0.500 0.750 0.000 H
0.500 0.250 0.000 H
0.000 0.500 0.250 H
0.250 0.000 0.500 H
0.000 0.500 0.750 H
0.500 0.000 0.750 Fe
0.500 0.000 0.250 Fe
0.750 0.500 0.000 Fe
0.000 0.250 0.500 Fe
0.250 0.500 0.000 Fe
0.000 0.750 0.500 Fe
0.500 0.500 0.500 Cu
0.000 0.000 0.000 Cu
```

Calculated values
Electronic total energy = -5.555 eV/atom
SG = No. 223

---

Entry 19:
Density functional theory data (PBE-GGA) for crystalline ZrFe2Cl at its relaxed geometry.

Cell and atoms, written as POSCAR:
```
ZrFe2Cl
1.0
2.939 0.000 0.000
0.000 2.939 0.000
0.000 0.000 7.724
Cl Zr Fe
1 1 2
Direct
0.500 0.500 0.750 Cl
0.500 0.500 0.250 Zr
0.000 0.000 0.979 Fe
0.000 0.000 0.521 Fe
```

Calculated values
SG = No. 123
Formation energy (no corrections) = 0.28 eV per atom
E above lowest polymorph = 445 meV per atom

---

Entry 20:
Density functional theory data (PBE-GGA) for crystalline Ac3Mg7Rh4 at its relaxed geometry.

Cell and atoms, written as POSCAR:
```
Ac3Mg7Rh4
1.0
-0.995 -4.080 0.971
3.041 -1.112 8.011
-7.405 0.901 5.763
Mg Rh Ac
7 4 3
Direct
0.679 0.147 0.495 Mg
0.831 0.411 0.927 Mg
0.515 0.759 0.212 Mg
0.485 0.241 0.788 Mg
0.169 0.589 0.073 Mg
0.321 0.853 0.505 Mg
0.000 0.000 0.000 Mg
0.105 0.097 0.693 Rh
0.667 0.429 0.238 Rh
0.895 0.903 0.307 Rh
0.333 0.571 0.762 Rh
0.699 0.819 0.784 Ac
0.000 0.500 0.500 Ac
0.301 0.181 0.216 Ac
```

Calculated values
SG = No. 12
Formation energy from the elements = -6.40 eV per formula unit

---

Entry 21:
Density functional theory data (PBE-GGA) for crystalline Na3In3SiS8 at its relaxed geometry.

Cell and atoms, written as POSCAR:
```
Na3In3SiS8
1.0
7.481 0.000 0.000
-3.741 6.483 -0.025
0.000 -4.300 6.840
S Na In Si
8 3 3 1
Direct
0.769 0.986 0.702 S
0.217 0.434 0.703 S
0.231 0.014 0.298 S
0.739 0.478 0.717 S
0.217 0.986 0.702 S
0.261 0.522 0.283 S
0.783 0.014 0.298 S
0.783 0.566 0.297 S
0.000 0.500 0.000 Na
0.500 0.500 0.000 Na
0.000 0.000 0.000 Na
0.500 0.500 0.500 In
0.500 0.000 0.500 In
0.000 0.500 0.500 In
0.000 0.000 0.500 Si
```

Calculated values
SG = No. 166
Formation energy (no corrections) = -0.78 eV per atom

---

Entry 22:
Density functional theory data (PBE-GGA) for crystalline Tl2Pd3Se2 at its relaxed geometry.

Cell and atoms, written as POSCAR:
```
Tl2Pd3Se2
1.0
-5.977 -1.171 0.296
-2.205 -4.959 2.781
-3.119 0.325 5.230
Pd Tl Se
3 2 2
Direct
0.500 0.000 0.500 Pd
0.500 0.500 0.000 Pd
0.000 0.500 0.500 Pd
0.500 0.500 0.500 Tl
0.000 0.000 0.000 Tl
0.786 0.786 0.786 Se
0.214 0.214 0.214 Se
```

Calculated values
SG = No. 166
Formation energy (no corrections) = -0.34 eV per atom
E above lowest polymorph = 0 meV per atom

---

Entry 23:
Density functional theory data (PBE-GGA) for crystalline Ba2HgBi2 at its relaxed geometry.

Cell and atoms, written as POSCAR:
```
Ba2HgBi2
1.0
-4.958 7.986 -4.531
-5.451 -6.704 -5.851
-2.743 -0.153 2.731
Ba Hg Bi
4 2 4
Direct
0.143 0.357 0.000 Ba
0.857 0.643 0.000 Ba
0.643 0.143 0.000 Ba
0.357 0.857 0.000 Ba
0.500 0.500 0.000 Hg
0.000 0.000 0.000 Hg
0.844 0.344 0.500 Bi
0.656 0.844 0.500 Bi
0.156 0.656 0.500 Bi
0.344 0.156 0.500 Bi
```

Calculated values
SG = No. 127
Formation energy from the elements = -2.67 eV per formula unit
E above lowest polymorph = 205 meV per atom

---

Entry 24:
Density functional theory data (PBE-GGA) for crystalline Y2AgGe3Pt4 at its relaxed geometry.

Cell and atoms, written as POSCAR:
```
Y2AgGe3Pt4
1.0
-0.318 -3.270 2.417
-0.355 -2.393 -3.284
11.371 -1.309 -0.276
Pt Ge Y Ag
4 3 2 1
Direct
0.000 0.000 0.000 Pt
0.500 0.000 0.659 Pt
0.000 0.500 0.341 Pt
0.500 0.500 0.000 Pt
0.000 0.500 0.132 Ge
0.500 0.000 0.868 Ge
0.000 0.000 0.500 Ge
0.500 0.000 0.249 Y
0.000 0.500 0.751 Y
0.500 0.500 0.500 Ag
```

Calculated values
SG = No. 115
Formation energy from the elements = -7.82 eV per formula unit